Entry 1:
! GGA-PBE TcGe, relaxed; values from VASP
! M_tot	0.000	μB/f.u.
! formation enthalpy at 0 K	225	meV/atom
! DOS at the Fermi energy	28.095	states/eV per cell
! symmetry	Fddd, No. 70
&SYSTEM
  ibrav = 0, nat = 32, ntyp = 2
/
ATOMIC_SPECIES
Tc 98.00 Tc.upf
Ge 72.64 Ge.upf
CELL_PARAMETERS angstrom
9.647 0.000 0.000
0.000 7.530 0.000
0.000 0.000 7.048
ATOMIC_POSITIONS angstrom
Tc 0.000 0.000 4.799
Tc 7.235 1.883 4.011
Ge 2.412 7.120 1.762
Tc 2.412 1.883 3.037
Tc 0.000 3.765 5.773
Ge 2.412 4.176 1.762
Ge 4.823 6.058 3.524
Tc 4.823 3.765 2.249
Ge 4.823 1.472 3.524
Ge 7.235 7.120 5.286
Ge 7.235 0.410 1.762
Ge 0.000 1.472 0.000
Tc 4.823 3.765 4.799
Tc 2.412 5.648 6.561
Ge 2.412 0.410 5.286
Ge 4.823 5.237 0.000
Ge 0.000 2.293 3.524
Tc 7.235 5.648 3.037
Ge 0.000 6.058 0.000
Tc 4.823 0.000 1.275
Tc 0.000 0.000 2.249
Ge 7.235 4.176 5.286
Tc 0.000 3.765 1.275
Tc 2.412 5.648 4.011
Tc 2.412 1.883 0.487
Ge 0.000 5.237 3.524
Ge 2.412 3.355 5.286
Tc 7.235 1.883 6.561
Ge 4.823 2.293 0.000
Tc 4.823 0.000 5.773
Tc 7.235 5.648 0.487
Ge 7.235 3.355 1.762

***

Entry 2:
! GGA-PBE Mn2Be, relaxed; values from VASP
! M_tot	0.000	μB/f.u.
! formation enthalpy at 0 K	-47	meV/atom
! DOS at the Fermi energy	6.723	states/eV per cell
! symmetry	Cmcm, No. 63
&SYSTEM
  ibrav = 0, nat = 6, ntyp = 2
/
ATOMIC_SPECIES
Be 9.01 Be.upf
Mn 54.94 Mn.upf
CELL_PARAMETERS angstrom
-2.354 1.066 5.469
2.127 -3.451 -4.488
3.539 0.269 1.471
ATOMIC_POSITIONS angstrom
Be 2.060 -0.506 2.662
Be 1.253 -1.610 -0.211
Mn 2.750 -3.119 -3.538
Mn 0.563 1.004 5.988
Mn -0.244 -0.101 3.115
Mn 3.557 -2.015 -0.664

***

Entry 3:
! GGA-PBE Ac6Al2Tl, relaxed; values from VASP
! M_tot	0.000	μB/f.u.
! formation enthalpy at 0 K	-196	meV/atom
! DOS at the Fermi energy	21.044	states/eV per cell
! symmetry	Immm, No. 71
&SYSTEM
  ibrav = 0, nat = 18, ntyp = 3
/
ATOMIC_SPECIES
Ac 227.00 Ac.upf
Tl 204.38 Tl.upf
Al 26.98 Al.upf
CELL_PARAMETERS angstrom
8.990 0.042 -3.364
-4.693 7.923 -2.709
-0.179 -0.042 9.597
ATOMIC_POSITIONS angstrom
Ac 4.436 3.041 3.072
Ac 0.591 1.926 2.944
Tl -2.436 3.940 3.444
Ac -2.038 7.662 2.881
Ac 6.155 0.261 0.642
Al 1.587 4.890 -2.244
Ac 2.762 2.175 -0.534
Al 3.224 0.000 2.281
Ac -0.595 2.133 6.815
Ac 1.355 5.748 4.057
Ac 4.713 5.790 -3.291
Al 5.586 0.000 3.952
Al 2.530 3.033 5.767
Ac 6.017 1.968 -2.942
Tl 0.000 0.000 0.000
Ac -0.319 4.882 0.451
Ac 3.526 5.997 0.579
Ac -1.900 5.955 6.465

***

Entry 4:
! GGA-PBE PdWAu, relaxed; values from VASP
! M_tot	0.000	μB/f.u.
! formation enthalpy at 0 K	100	meV/atom
! DOS at the Fermi energy	2.212	states/eV per cell
! symmetry	I4mm, No. 107
&SYSTEM
  ibrav = 0, nat = 3, ntyp = 3
/
ATOMIC_SPECIES
W 183.84 W.upf
Pd 106.42 Pd.upf
Au 196.97 Au.upf
CELL_PARAMETERS angstrom
-1.917 -1.181 1.700
0.241 -2.429 -1.415
5.295 0.035 3.653
ATOMIC_POSITIONS angstrom
W 0.695 -2.414 1.448
Pd 2.899 -1.151 2.469
Au 0.024 -0.009 0.020

***

Entry 5:
! GGA-PBE Sr2Zn2Au, relaxed; values from VASP
! M_tot	0.000	μB/f.u.
! formation enthalpy at 0 K	-131	meV/atom
! DOS at the Fermi energy	7.877	states/eV per cell
! symmetry	P4/mbm, No. 127
&SYSTEM
  ibrav = 0, nat = 10, ntyp = 3
/
ATOMIC_SPECIES
Zn 65.41 Zn.upf
Au 196.97 Au.upf
Sr 87.62 Sr.upf
CELL_PARAMETERS angstrom
-8.062 2.449 -1.424
1.262 -0.741 -8.419
-1.314 -4.226 0.175
ATOMIC_POSITIONS angstrom
Zn -4.415 -1.292 -8.302
Au 0.000 0.000 0.000
Sr -5.703 1.486 -6.930
Zn -3.700 -1.227 -1.366
Au -3.400 0.854 -4.921
Zn -7.367 -0.216 -4.502
Sr -1.098 0.221 -2.913
Zn -0.747 -2.303 -5.165
Sr -1.509 0.166 -7.306
Sr -5.292 1.541 -2.537

***

Entry 6:
! GGA-PBE CsNdAgS2, relaxed; values from VASP
! M_tot	0.000	μB/f.u.
! raw formation energy	-105.52	kJ per mole of atoms
! DOS at the Fermi energy	2.430	states/eV per cell
! symmetry	P2/c, No. 13
&SYSTEM
  ibrav = 0, nat = 10, ntyp = 4
/
ATOMIC_SPECIES
S 32.06 S.upf
Cs 132.91 Cs.upf
Ag 107.87 Ag.upf
Nd 144.24 Nd.upf
CELL_PARAMETERS angstrom
-1.113 -4.878 1.359
2.881 -2.614 -7.021
6.824 -0.319 4.440
ATOMIC_POSITIONS angstrom
S 5.017 -3.931 -2.901
Cs 2.191 -5.575 -1.234
Ag 3.412 -0.160 2.220
S 0.477 -2.344 -0.924
Nd 1.156 -2.490 1.782
S 8.115 -5.467 -0.298
Cs 6.401 -2.237 0.012
Nd 4.555 -2.708 4.018
S 3.575 -3.880 1.679
Ag 0.000 0.000 0.000

***

Entry 7:
! GGA-PBE VGaCl3, relaxed; values from VASP
! M_tot	3.000	μB/f.u.
! raw formation energy	-81.48	kJ per mole of atoms
! DOS at the Fermi energy	0.748	states/eV per cell
! symmetry	Pm-3m, No. 221
&SYSTEM
  ibrav = 0, nat = 5, ntyp = 3
/
ATOMIC_SPECIES
Ga 69.72 Ga.upf
Cl 35.45 Cl.upf
V 50.94 V.upf
CELL_PARAMETERS angstrom
-2.345 -4.124 1.347
3.043 -0.471 3.852
-3.092 2.663 2.769
ATOMIC_POSITIONS angstrom
Ga -1.197 -0.966 3.984
Cl 1.521 -0.236 1.926
Cl -1.546 1.332 1.384
Cl -1.172 -2.062 0.674
V 0.000 0.000 0.000

***

Entry 8:
! GGA-PBE Bi3AsRh, relaxed; values from VASP
! M_tot	0.000	μB/f.u.
! formation enthalpy at 0 K	430	meV/atom
! DOS at the Fermi energy	3.515	states/eV per cell
! symmetry	Pm-3m, No. 221
&SYSTEM
  ibrav = 0, nat = 5, ntyp = 3
/
ATOMIC_SPECIES
Bi 208.98 Bi.upf
As 74.92 As.upf
Rh 102.91 Rh.upf
CELL_PARAMETERS angstrom
5.290 0.000 0.000
0.000 5.290 0.000
0.000 0.000 5.290
ATOMIC_POSITIONS angstrom
Bi 2.645 0.000 0.000
Bi 0.000 0.000 2.645
As 2.645 2.645 2.645
Rh 0.000 0.000 0.000
Bi 0.000 2.645 0.000

***

Entry 9:
! GGA-PBE ErTm5Pt2, relaxed; values from VASP
! M_tot	0.001	μB/f.u.
! formation enthalpy at 0 K	-627	meV/atom
! DOS at the Fermi energy	9.185	states/eV per cell
! symmetry	Immm, No. 71
&SYSTEM
  ibrav = 0, nat = 8, ntyp = 3
/
ATOMIC_SPECIES
Tm 168.93 Tm.upf
Pt 195.08 Pt.upf
Er 167.26 Er.upf
CELL_PARAMETERS angstrom
4.063 0.000 0.000
2.031 8.206 1.490
2.031 3.890 7.378
ATOMIC_POSITIONS angstrom
Tm 4.063 5.293 1.603
Pt 2.031 3.676 2.695
Er 0.000 0.000 0.000
Tm 2.031 6.048 4.434
Tm 4.063 6.804 7.265
Tm 4.063 8.975 4.303
Tm 4.063 3.121 4.565
Pt 6.094 8.421 6.173

***

Entry 10:
! GGA-PBE TaAlF2, relaxed; values from VASP
! M_tot	0.000	μB/f.u.
! raw formation energy	-42.21	kJ per mole of atoms
! DOS at the Fermi energy	2.417	states/eV per cell
! symmetry	Fm-3m, No. 225
&SYSTEM
  ibrav = 0, nat = 4, ntyp = 3
/
ATOMIC_SPECIES
Ta 180.95 Ta.upf
F 19.00 F.upf
Al 26.98 Al.upf
CELL_PARAMETERS angstrom
1.215 1.922 3.560
-2.560 0.038 3.360
0.963 -2.292 3.415
ATOMIC_POSITIONS angstrom
Ta -0.191 -0.166 5.167
F -0.096 -0.083 2.584
F -0.287 -0.249 7.751
Al 0.000 0.000 0.000

***

Entry 11:
! GGA-PBE Pm3Sm2In4, relaxed; values from VASP
! M_tot	0.000	μB/f.u.
! formation enthalpy at 0 K	-272	meV/atom
! DOS at the Fermi energy	11.800	states/eV per cell
! symmetry	Cmce, No. 64
&SYSTEM
  ibrav = 0, nat = 18, ntyp = 3
/
ATOMIC_SPECIES
In 114.82 In.upf
Pm 145.00 Pm.upf
Sm 150.36 Sm.upf
CELL_PARAMETERS angstrom
7.255 0.000 0.000
0.000 9.691 0.000
-3.628 0.000 8.001
ATOMIC_POSITIONS angstrom
In 0.000 4.609 4.933
Pm 1.814 7.268 4.459
In 1.814 7.268 7.675
Sm 3.628 9.156 1.707
Pm 0.000 0.000 0.000
Pm 3.628 4.845 0.000
In 1.814 2.423 0.326
In 5.441 2.423 0.326
In 3.628 5.081 3.068
Sm 0.000 5.380 1.707
Sm 0.000 0.535 6.294
Pm 5.441 2.423 3.542
Sm 3.628 4.310 6.294
In -1.814 7.268 7.675
Pm 1.814 2.423 3.542
In 3.628 0.236 4.933
In 0.000 9.455 3.068
Pm -1.814 7.268 4.459

***

Which value of M_tot does entry 1 give?
0.000 μB/f.u.

***

Look up the M_tot of the eleventh one.
0.000 μB/f.u.

***

Which value of DOS at the Fermi energy does entry 7 give?
0.748 states/eV per cell